No. 1
# LaMn2Zn, relaxed, DFT GGA-PBE
# formation enthalpy at 0 K = 0.44 eV per atom
data_LaMn2Zn
_space_group_name_H-M_alt 'P 1 2/m 1'
_space_group_IT_number 10
_space_group_name_Hall '-P 2y'
_cell_length_a 3.200
_cell_length_b 4.531
_cell_length_c 5.368
_cell_angle_alpha 90.00
_cell_angle_beta 98.22
_cell_angle_gamma 90.00
loop_
_atom_site_label
_atom_site_type_symbol
_atom_site_fract_x
_atom_site_fract_y
_atom_site_fract_z
La1 La 0.000 0.000 0.000
Mn1 Mn 0.288 0.500 0.628
Zn1 Zn 0.500 0.000 0.500


No. 2
# LaMn2Zn, relaxed, DFT GGA-PBE
# formation enthalpy at 0 K = 0.38 eV per atom
data_LaMn2Zn
_space_group_name_H-M_alt 'P m m m'
_space_group_IT_number 47
_space_group_name_Hall '-P 2 2'
_cell_length_a 3.307
_cell_length_b 4.516
_cell_length_c 5.120
_cell_angle_alpha 90.00
_cell_angle_beta 90.00
_cell_angle_gamma 90.00
loop_
_atom_site_label
_atom_site_type_symbol
_atom_site_fract_x
_atom_site_fract_y
_atom_site_fract_z
La1 La 0.000 0.000 0.000
Mn1 Mn 0.000 0.500 0.500
Mn2 Mn 0.500 0.500 0.000
Zn1 Zn 0.500 0.000 0.500


No. 3
# LaMn4Zn, relaxed, DFT GGA-PBE
# formation enthalpy at 0 K = 0.32 eV per atom
data_LaMn4Zn
_space_group_name_H-M_alt 'F -4 3 m'
_space_group_IT_number 216
_space_group_name_Hall 'F -4 2 3'
_cell_length_a 7.290
_cell_length_b 7.290
_cell_length_c 7.290
_cell_angle_alpha 90.00
_cell_angle_beta 90.00
_cell_angle_gamma 90.00
loop_
_atom_site_label
_atom_site_type_symbol
_atom_site_fract_x
_atom_site_fract_y
_atom_site_fract_z
La1 La 0.000 0.000 0.000
Mn1 Mn 0.123 0.123 0.623
Zn1 Zn 0.250 0.250 0.250